# PBE-GGA LiAlP, optimized geometry
data_LiAlP
_symmetry_space_group_name_H-M 'P -6 m 2'
_symmetry_Int_Tables_number 187
_symmetry_space_group_name_Hall 'P -6 2'
_cell_length_a 4.4046
_cell_length_b 4.4046
_cell_length_c 2.7772
_cell_angle_alpha 90.00
_cell_angle_beta 90.00
_cell_angle_gamma 120.00
loop_
_atom_site_label
_atom_site_fract_x
_atom_site_fract_y
_atom_site_fract_z
Li1 0.0000 0.0000 0.0000
Al1 0.3333 0.6667 0.5000
P1 0.6667 0.3333 0.5000
# Total magnetization (μB/f.u.): 0.00
# D(E_F) (states/eV per cell): 1.5
# Formation energy (meV per atom): -179
# V (Å³/f.u.): 46.7